1.
# CrIO2F PBE with a Hubbard U optimized geometry
data_CrIO2F
_symmetry_space_group_name_H-M 'P 1'
_symmetry_Int_Tables_number 1
_cell_length_a 3.637
_cell_length_b 3.637
_cell_length_c 5.567
_cell_angle_alpha 90.00
_cell_angle_beta 90.00
_cell_angle_gamma 90.00
loop_
_symmetry_equiv_pos_as_xyz
'x,y,z'
loop_
_atom_site_label
_atom_site_type_symbol
_atom_site_fract_x
_atom_site_fract_y
_atom_site_fract_z
_atom_site_occupancy
Cr1 Cr 0.000 0.000 0.000 1
I1 I 0.000 0.000 0.500 1
O1 O 0.000 0.500 0.000 1
O2 O 0.500 0.000 0.000 1
F1 F 0.500 0.500 0.500 1
# Total energy (eV/cell): -23.377



2.
# CrIO2F PBE with a Hubbard U optimized geometry
data_CrIO2F
_symmetry_space_group_name_H-M 'P 1'
_symmetry_Int_Tables_number 1
_cell_length_a 3.972
_cell_length_b 3.972
_cell_length_c 4.016
_cell_angle_alpha 90.00
_cell_angle_beta 90.00
_cell_angle_gamma 90.00
loop_
_symmetry_equiv_pos_as_xyz
'x,y,z'
loop_
_atom_site_label
_atom_site_type_symbol
_atom_site_fract_x
_atom_site_fract_y
_atom_site_fract_z
_atom_site_occupancy
Cr1 Cr 0.000 0.000 0.000 1
I1 I 0.500 0.500 0.500 1
O1 O 0.000 0.500 0.000 1
O2 O 0.500 0.000 0.000 1
F1 F 0.000 0.000 0.500 1
# Total energy (eV/cell): -22.957



3.
# CrIO2F PBE with a Hubbard U optimized geometry
data_CrIO2F
_symmetry_space_group_name_H-M 'P 1'
_symmetry_Int_Tables_number 1
_cell_length_a 4.337
_cell_length_b 4.337
_cell_length_c 4.079
_cell_angle_alpha 90.00
_cell_angle_beta 90.00
_cell_angle_gamma 90.00
loop_
_symmetry_equiv_pos_as_xyz
'x,y,z'
loop_
_atom_site_label
_atom_site_type_symbol
_atom_site_fract_x
_atom_site_fract_y
_atom_site_fract_z
_atom_site_occupancy
Cr1 Cr 0.000 0.000 0.000 1
I1 I 0.500 0.500 0.000 1
O1 O 0.000 0.500 0.500 1
O2 O 0.500 0.000 0.500 1
F1 F 0.500 0.500 0.500 1
# Total energy (eV/cell): -14.841



Q: Look up the total energy of the third one.
A: -14.841 eV/cell